<P>
Compound: CaH2OF
Source: Alexandria
Functional: GGA-PBE
Structure: optimized geometry

a = 3.551 Å, b = 4.138 Å, c = 5.702 Å
α = 70.85°, β = 89.64°, γ = 64.71°
Space group P1 (No. 1)
Inequivalent atoms, fractional coordinates:
Ca1 0.000 0.000 0.000 (multiplicity 1)
H1 0.357 0.299 0.563 (multiplicity 1)
H2 0.568 0.869 0.579 (multiplicity 1)
O1 0.489 0.028 0.689 (multiplicity 1)
F1 0.312 0.376 0.028 (multiplicity 1)

Calculated values
theoretical density	1.81	g/cm3


<Q>
Compound: CaH2OF
Source: Alexandria
Functional: GGA-PBE
Structure: optimized geometry

a = 6.341 Å, b = 3.662 Å, c = 5.593 Å
α = 90.00°, β = 112.18°, γ = 90.00°
Space group Cm (No. 8)
Inequivalent atoms, fractional coordinates:
Ca1 0.000 0.000 0.000 (multiplicity 2)
H1 0.037 0.500 0.612 (multiplicity 2)
H2 0.329 0.500 0.484 (multiplicity 2)
O1 0.100 0.500 0.801 (multiplicity 2)
F1 0.402 0.000 0.206 (multiplicity 2)

Calculated values
theoretical density	2.13	g/cm3


<R>
Compound: CaH2OF
Source: Alexandria
Functional: GGA-PBE
Structure: optimized geometry

a = 4.698 Å, b = 3.984 Å, c = 7.196 Å
α = 90.00°, β = 90.00°, γ = 90.00°
Space group Amm2 (No. 38)
Inequivalent atoms, fractional coordinates:
Ca1 0.000 0.000 0.000 (multiplicity 2)
H1 0.500 0.199 0.782 (multiplicity 4)
O1 0.500 0.000 0.870 (multiplicity 2)
F1 0.000 0.000 0.330 (multiplicity 2)

Calculated values
theoretical density	1.90	g/cm3


Most stable one: <P>, least stable one: <Q>.


<P>
Compound: CaH2SeF
Source: Alexandria
Functional: GGA-PBE
Structure: optimized geometry

a = 4.807 Å, b = 4.265 Å, c = 6.655 Å
α = 90.00°, β = 90.00°, γ = 90.00°
Space group Amm2 (No. 38)
Inequivalent atoms, fractional coordinates:
Ca1 0.000 0.000 0.000 (multiplicity 2)
H1 0.500 0.000 0.579 (multiplicity 2)
H2 0.500 0.000 0.901 (multiplicity 2)
Se1 0.500 0.000 0.356 (multiplicity 2)
F1 0.000 0.000 0.662 (multiplicity 2)

Calculated values
theoretical density	3.41	g/cm3


<Q>
Compound: CaH2SeF
Source: Alexandria
Functional: GGA-PBE
Structure: optimized geometry

a = 3.815 Å, b = 4.125 Å, c = 4.940 Å
α = 89.92°, β = 89.93°, γ = 67.31°
Space group P1 (No. 1)
Inequivalent atoms, fractional coordinates:
Ca1 0.000 0.000 0.000 (multiplicity 1)
H1 0.752 0.763 0.499 (multiplicity 1)
H2 0.970 0.578 0.498 (multiplicity 1)
Se1 0.363 0.173 0.499 (multiplicity 1)
F1 0.689 0.617 0.999 (multiplicity 1)

Calculated values
theoretical density	3.24	g/cm3


<R>
Compound: CaH2SeF
Source: Alexandria
Functional: GGA-PBE
Structure: optimized geometry

a = 3.524 Å, b = 3.526 Å, c = 8.123 Å
α = 83.91°, β = 84.21°, γ = 66.39°
Space group P1 (No. 1)
Inequivalent atoms, fractional coordinates:
Ca1 0.000 0.000 0.000 (multiplicity 1)
H1 0.084 0.892 0.366 (multiplicity 1)
H2 0.895 0.092 0.363 (multiplicity 1)
Se1 0.391 0.397 0.737 (multiplicity 1)
F1 0.633 0.631 0.104 (multiplicity 1)

Calculated values
theoretical density	2.53	g/cm3


<S>
Compound: CaH2SeF
Source: Alexandria
Functional: GGA-PBE
Structure: optimized geometry

a = 3.910 Å, b = 3.951 Å, c = 6.048 Å
α = 98.30°, β = 92.61°, γ = 118.57°
Space group P1 (No. 1)
Inequivalent atoms, fractional coordinates:
Ca1 0.000 0.000 0.000 (multiplicity 1)
H1 0.220 0.666 0.478 (multiplicity 1)
H2 0.700 0.390 0.191 (multiplicity 1)
Se1 0.944 0.825 0.467 (multiplicity 1)
F1 0.319 0.640 0.942 (multiplicity 1)

Calculated values
theoretical density	2.89	g/cm3


Most stable one: <R>, least stable one: <S>.


<P>
Compound: CaHf3F
Source: Alexandria
Functional: GGA-PBE
Structure: optimized geometry

a = 5.139 Å, b = 5.139 Å, c = 5.139 Å
α = 90.00°, β = 90.00°, γ = 90.00°
Space group Pm-3m (No. 221)
Inequivalent atoms, fractional coordinates:
Ca1 0.000 0.000 0.000 (multiplicity 1)
Hf1 0.000 0.000 0.500 (multiplicity 3)
F1 0.500 0.500 0.500 (multiplicity 1)

Calculated values
theoretical density	7.27	g/cm3


<Q>
Compound: CaHf3F
Source: Alexandria
Functional: GGA-PBE
Structure: optimized geometry

a = 4.720 Å, b = 4.720 Å, c = 4.720 Å
α = 90.00°, β = 90.00°, γ = 90.00°
Space group Pm-3m (No. 221)
Inequivalent atoms, fractional coordinates:
Ca1 0.000 0.000 0.000 (multiplicity 1)
Hf1 0.000 0.500 0.500 (multiplicity 3)
F1 0.500 0.500 0.500 (multiplicity 1)

Calculated values
theoretical density	9.39	g/cm3


Most stable one: <Q>, least stable one: <P>.


<P>
Compound: Ca3HfF
Source: Alexandria
Functional: GGA-PBE
Structure: optimized geometry

a = 5.090 Å, b = 5.090 Å, c = 5.090 Å
α = 90.00°, β = 90.00°, γ = 90.00°
Space group Pm-3m (No. 221)
Inequivalent atoms, fractional coordinates:
Ca1 0.000 0.000 0.500 (multiplicity 3)
Hf1 0.500 0.500 0.500 (multiplicity 1)
F1 0.000 0.000 0.000 (multiplicity 1)

Calculated values
theoretical density	4.00	g/cm3


<Q>
Compound: Ca3HfF
Source: Alexandria
Functional: GGA-PBE
Structure: optimized geometry

a = 6.135 Å, b = 6.135 Å, c = 6.135 Å
α = 90.00°, β = 90.00°, γ = 90.00°
Space group Pm-3m (No. 221)
Inequivalent atoms, fractional coordinates:
Ca1 0.000 0.000 0.500 (multiplicity 3)
Hf1 0.000 0.000 0.000 (multiplicity 1)
F1 0.500 0.500 0.500 (multiplicity 1)

Calculated values
theoretical density	2.29	g/cm3


Most stable one: <P>, least stable one: <Q>.